TmPb2Se4 | GGA-PBE | optimized geometry

It has space group Cmcm (No. 63), with a = 4.065 Å, b = 14.241 Å, c = 13.804 Å, α = 90.00°, β = 90.00° and γ = 90.00°. Symmetry generates all atoms from Tm at (0.000, 0.109, 0.250), Pb at (0.000, 0.366, 0.066), Se at (0.000, 0.000, 0.000), Se at (0.000, 0.291, 0.637) and Se at (0.000, 0.470, 0.250).

The formation energy (no corrections) is -5.9 eV/f.u. As for the crystal system: orthorhombic.



Y2SbW | GGA-PBE | optimized geometry

It has space group Cmmm (No. 65), with a = 4.204 Å, b = 5.176 Å, c = 8.971 Å, α = 90.00°, β = 90.00° and γ = 90.00°. Symmetry generates all atoms from Y at (0.000, 0.000, 0.232), Sb at (0.000, 0.500, 0.500) and W at (0.000, 0.500, 0.000).

The formation energy (no corrections) is 0.2 eV/f.u. As for the crystal system: orthorhombic.